A plane-wave DFT calculation with GGA-PBEsol was carried out for an optimized crystal structure of SiAg.

Cell: 2.8569 2.8569 4.5028 Å, 90.00 90.00 120.00°
Space group P-6m2 (No. 187)
Unique sites:
Si: 0.0000 0.0000 0.0000
Ag: 0.6667 0.3333 0.5000

## Properties
Total magnetic moment   0.000 μB/atom
DFT total energy   -4.214 eV/atom
Formation energy from raw total energies   314 meV/atom
Offset from the most stable computed form   57 meV per atom
DOS at the Fermi energy   0.9 states/eV/cell